# 1
Here is YTeSe after structural relaxation from Alexandria. Energies are from GGA-PBEsol.

Cell: 3.7532 3.7532 10.4459 Å, 90.00 90.00 90.00°
Element x y z (fractional)
Y  0.0000  0.0000  0.0000
Y  0.5000  0.5000  0.5000
Te  0.0000  0.0000  0.3210
Te  0.5000  0.5000  0.8210
Se  0.0000  0.0000  0.6141
Se  0.5000  0.5000  0.1141

Output
* formation energy (no corrections): -1.2431 eV/atom
* Fermi-level density of states: 1.738 states/eV/f.u.



# 2
Here is In2TcMo after structural relaxation from Alexandria. Energies are from GGA-PBEsol.

Cell: 3.0229 3.0229 27.8015 Å, 90.00 90.00 120.00°
Element x y z (fractional)
In  0.0000  0.0000  0.0000
In  0.0000  0.0000  0.2350
In  0.3333  0.6667  0.6667
In  0.3333  0.6667  0.9016
In  0.6667  0.3333  0.3333
In  0.6667  0.3333  0.5683
Tc  0.0000  0.0000  0.7502
Tc  0.3333  0.6667  0.4169
Tc  0.6667  0.3333  0.0835
Mo  0.0000  0.0000  0.4824
Mo  0.3333  0.6667  0.1490
Mo  0.6667  0.3333  0.8157

Output
* Fermi-level density of states: 2.793 states/eV/f.u.
* energy of formation: 0.2444 eV/atom
* distance to the lowest polymorph of the same formula: 0.0 meV per atom



# 3
Here is InTcOs2 after structural relaxation from Alexandria. Energies are from GGA-PBEsol.

Cell: 3.8739 3.8739 8.0705 Å, 90.00 90.00 90.00°
Element x y z (fractional)
In  0.0000  0.0000  0.0000
In  0.5000  0.5000  0.5000
Tc  0.0000  0.0000  0.5000
Tc  0.5000  0.5000  0.0000
Os  0.0000  0.5000  0.2500
Os  0.0000  0.5000  0.7500
Os  0.5000  0.0000  0.2500
Os  0.5000  0.0000  0.7500

Output
* Fermi-level density of states: 4.723 states/eV/f.u.
* energy of formation: 0.4846 eV/atom